[1]
Density functional theory data (PBE-GGA) for an optimized crystal structure of LaPm3As3.

a = 9.036 Å, b = 9.036 Å, c = 9.036 Å
α = 90.00°, β = 90.00°, γ = 90.00°
Space group P2_13 (No. 198)
Symmetry-distinct sites (fractional):
1 La 0.067 0.433 0.567
2 Pm 0.067 0.567 0.933
3 Pm 0.184 0.184 0.184
4 Pm 0.184 0.816 0.316
5 As 0.001 0.253 0.879

VASP energy, eV for the cell shown: -168.6
Total magnetic moment, μB per atom: 0.00
V, Å³ per cell: 738
Energy of formation from the pure elements, eV/atom: -1.29

=====

[2]
Density functional theory data (PBE-GGA) for an optimized crystal structure of LaPmAs.

a = 7.115 Å, b = 7.115 Å, c = 7.115 Å
α = 90.00°, β = 90.00°, γ = 90.00°
Space group F-43m (No. 216)
Symmetry-distinct sites (fractional):
1 La 0.000 0.000 0.000
2 Pm 0.000 0.000 0.500
3 As 0.250 0.250 0.250

Energy above the most stable polymorph in this dataset, meV/atom: 16
VASP energy, eV for the cell shown: -67.6
Total magnetic moment, μB per atom: 0.00
V, Å³ per cell: 360
Energy of formation from the pure elements, eV/atom: -0.86

=====

[3]
Density functional theory data (PBE-GGA) for an optimized crystal structure of LaPm4As5.

a = 4.270 Å, b = 6.032 Å, c = 21.332 Å
α = 90.00°, β = 90.00°, γ = 90.00°
Space group Immm (No. 71)
Symmetry-distinct sites (fractional):
1 La 0.000 0.000 0.000
2 Pm 0.000 0.000 0.201
3 Pm 0.000 0.000 0.399
4 As 0.000 0.500 0.000
5 As 0.000 0.500 0.200
6 As 0.000 0.500 0.398

VASP energy, eV for the cell shown: -125.0
Total magnetic moment, μB per atom: 0.00
V, Å³ per cell: 549
Energy of formation from the pure elements, eV/atom: -1.53

=====

[4]
Density functional theory data (PBE-GGA) for an optimized crystal structure of La2Pm2As3.

a = 9.085 Å, b = 9.085 Å, c = 9.085 Å
α = 90.00°, β = 90.00°, γ = 90.00°
Space group I2_13 (No. 199)
Symmetry-distinct sites (fractional):
1 La 0.181 0.181 0.181
2 Pm 0.066 0.434 0.566
3 As 0.000 0.250 0.868

VASP energy, eV for the cell shown: -169.8
Total magnetic moment, μB per atom: 0.00
V, Å³ per cell: 750
Energy of formation from the pure elements, eV/atom: -1.31

=====

[5]
Density functional theory data (PBE-GGA) for an optimized crystal structure of La4PmAs5.

a = 9.725 Å, b = 9.725 Å, c = 6.151 Å
α = 90.00°, β = 90.00°, γ = 90.00°
Space group I4/m (No. 87)
Symmetry-distinct sites (fractional):
1 La 0.099 0.700 0.000
2 Pm 0.000 0.000 0.500
3 As 0.000 0.000 0.000
4 As 0.099 0.703 0.500

VASP energy, eV for the cell shown: -126.7
Total magnetic moment, μB per atom: 0.00
V, Å³ per cell: 582
Energy of formation from the pure elements, eV/atom: -1.56

=====

[6]
Density functional theory data (PBE-GGA) for an optimized crystal structure of LaPm2PrAs4.

a = 7.429 Å, b = 4.292 Å, c = 7.430 Å
α = 90.00°, β = 109.45°, γ = 90.00°
Space group P2/m (No. 10)
Symmetry-distinct sites (fractional):
1 La 0.000 0.000 0.000
2 Pm 0.500 0.000 0.500
3 Pm 0.500 0.500 0.000
4 Pr 0.000 0.500 0.500
5 As 0.255 0.000 0.751
6 As 0.256 0.500 0.253

VASP energy, eV for the cell shown: -50.1
Total magnetic moment, μB per atom: 0.00
V, Å³ per cell: 223
Energy of formation from the pure elements, eV/atom: -1.53

=====

[7]
Density functional theory data (PBE-GGA) for an optimized crystal structure of LaPm2Pr3As6.

a = 7.443 Å, b = 12.889 Å, c = 7.443 Å
α = 90.00°, β = 109.45°, γ = 90.00°
Space group C2/m (No. 12)
Symmetry-distinct sites (fractional):
1 La 0.000 0.000 0.000
2 Pm 0.000 0.333 0.000
3 Pr 0.000 0.166 0.500
4 Pr 0.000 0.500 0.500
5 As 0.246 0.500 0.248
6 As 0.249 0.332 0.752

VASP energy, eV for the cell shown: -149.8
Total magnetic moment, μB per atom: 0.00
V, Å³ per cell: 673
Energy of formation from the pure elements, eV/atom: -1.52

=====

[8]
Density functional theory data (PBE-GGA) for an optimized crystal structure of La2PmAs3Pt4.

a = 4.373 Å, b = 4.373 Å, c = 11.396 Å
α = 90.00°, β = 90.00°, γ = 90.00°
Space group P-4m2 (No. 115)
Symmetry-distinct sites (fractional):
1 La 0.000 0.500 0.215
2 Pm 0.000 0.000 0.500
3 As 0.000 0.500 0.877
4 As 0.500 0.500 0.500
5 Pt 0.000 0.000 0.000
6 Pt 0.000 0.500 0.662
7 Pt 0.500 0.500 0.000

VASP energy, eV for the cell shown: -62.5
Total magnetic moment, μB per atom: 0.00
V, Å³ per cell: 218
Energy of formation from the pure elements, eV/atom: -0.98

=====

[9]
Density functional theory data (PBE-GGA) for an optimized crystal structure of La2Pm3PuAs6.

a = 18.594 Å, b = 4.271 Å, c = 8.539 Å
α = 90.00°, β = 103.29°, γ = 90.00°
Space group C2/m (No. 12)
Symmetry-distinct sites (fractional):
1 La 0.166 0.000 0.333
2 Pm 0.000 0.500 0.500
3 Pm 0.168 0.000 0.834
4 Pu 0.000 0.500 0.000
5 As 0.002 0.000 0.758
6 As 0.164 0.500 0.077
7 As 0.165 0.500 0.587

VASP energy, eV for the cell shown: -167.3
Total magnetic moment, μB per atom: 0.41
V, Å³ per cell: 660
Energy of formation from the pure elements, eV/atom: -1.44

=====

[10]
Density functional theory data (PBE-GGA) for an optimized crystal structure of LaPm2PuAs4.

a = 7.355 Å, b = 4.253 Å, c = 7.355 Å
α = 90.00°, β = 109.46°, γ = 90.00°
Space group P2/m (No. 10)
Symmetry-distinct sites (fractional):
1 La 0.000 0.000 0.000
2 Pm 0.500 0.000 0.500
3 Pm 0.500 0.500 0.000
4 Pu 0.000 0.500 0.500
5 As 0.246 0.000 0.741
6 As 0.251 0.500 0.257

VASP energy, eV for the cell shown: -58.5
Total magnetic moment, μB per atom: 0.62
V, Å³ per cell: 217
Energy of formation from the pure elements, eV/atom: -1.39

=====

[11]
Density functional theory data (PBE-GGA) for an optimized crystal structure of La2PmPuAs4.

a = 7.409 Å, b = 4.287 Å, c = 7.414 Å
α = 90.00°, β = 109.45°, γ = 90.00°
Space group P2/m (No. 10)
Symmetry-distinct sites (fractional):
1 La 0.000 0.000 0.000
2 La 0.500 0.500 0.000
3 Pm 0.000 0.500 0.500
4 Pu 0.500 0.000 0.500
5 As 0.251 0.000 0.740
6 As 0.259 0.500 0.263

VASP energy, eV for the cell shown: -58.8
Total magnetic moment, μB per atom: 0.61
V, Å³ per cell: 222
Energy of formation from the pure elements, eV/atom: -1.40

=====

[12]
Density functional theory data (PBE-GGA) for an optimized crystal structure of La2PmAs3Rh4.

a = 4.198 Å, b = 4.198 Å, c = 11.548 Å
α = 90.00°, β = 90.00°, γ = 90.00°
Space group P-4m2 (No. 115)
Symmetry-distinct sites (fractional):
1 La 0.000 0.500 0.225
2 Pm 0.000 0.000 0.500
3 As 0.000 0.500 0.876
4 As 0.500 0.500 0.500
5 Rh 0.000 0.000 0.000
6 Rh 0.000 0.500 0.664
7 Rh 0.500 0.500 0.000

VASP energy, eV for the cell shown: -67.6
Total magnetic moment, μB per atom: 0.00
V, Å³ per cell: 203
Energy of formation from the pure elements, eV/atom: -0.97

=====

[13]
Density functional theory data (PBE-GGA) for an optimized crystal structure of La2PmAs3Rh12.

a = 9.1663 Å, b = 9.1663 Å, c = 13.1277 Å
α = 90.00°, β = 90.00°, γ = 120.00°
Space group R-3m (No. 166, hexagonal axes)
Symmetry-distinct sites (fractional):
1 La 0.0000 0.0000 0.1350
2 Pm 0.0000 0.0000 0.5000
3 As 0.0000 0.5000 0.0000
4 Rh 0.0112 0.5056 0.8182
5 Rh 0.0194 0.5097 0.3836

VASP energy, eV for the cell shown: -366.8
Total magnetic moment, μB per atom: 0.00
V, Å³ per cell: 955
Energy of formation from the pure elements, eV/atom: -0.31

=====

[14]
Density functional theory data (PBE-GGA) for an optimized crystal structure of LaPmSbAs.

a = 4.4216 Å, b = 4.4216 Å, c = 21.8233 Å
α = 90.00°, β = 90.00°, γ = 120.00°
Space group R3m (No. 160, hexagonal axes)
Symmetry-distinct sites (fractional):
1 La 0.0000 0.0000 0.0000
2 Pm 0.0000 0.0000 0.4896
3 Sb 0.0000 0.0000 0.2424
4 As 0.0000 0.0000 0.7465

VASP energy, eV for the cell shown: -71.9
Total magnetic moment, μB per atom: 0.00
V, Å³ per cell: 370
E_form (uncorrected), eV per atom: -1.38

=====

[15]
Density functional theory data (PBE-GGA) for an optimized crystal structure of LaPm2ScAs4.

a = 7.252 Å, b = 4.202 Å, c = 7.263 Å
α = 90.00°, β = 109.41°, γ = 90.00°
Space group P2/m (No. 10)
Symmetry-distinct sites (fractional):
1 La 0.000 0.000 0.000
2 Pm 0.000 0.500 0.500
3 Pm 0.500 0.000 0.500
4 Sc 0.500 0.500 0.000
5 As 0.261 0.500 0.247
6 As 0.266 0.000 0.762

VASP energy, eV for the cell shown: -50.9
Total magnetic moment, μB per atom: 0.00
V, Å³ per cell: 209
Energy of formation from the pure elements, eV/atom: -1.45

=====

[16]
Density functional theory data (PBE-GGA) for an optimized crystal structure of LaPmAsSe.

a = 4.2773 Å, b = 4.2773 Å, c = 21.0733 Å
α = 90.00°, β = 90.00°, γ = 120.00°
Space group R3m (No. 160, hexagonal axes)
Symmetry-distinct sites (fractional):
1 La 0.0000 0.0000 0.0000
2 Pm 0.0000 0.0000 0.4936
3 As 0.0000 0.0000 0.7490
4 Se 0.0000 0.0000 0.2446

VASP energy, eV for the cell shown: -74.9
Total magnetic moment, μB per atom: 0.00
V, Å³ per cell: 334
E_form (uncorrected), eV per atom: -1.79

=====

[17]
Density functional theory data (PBE-GGA) for an optimized crystal structure of LaPmSm2As4.

a = 8.522 Å, b = 8.526 Å, c = 12.052 Å
α = 90.00°, β = 90.00°, γ = 90.00°
Space group Imma (No. 74)
Symmetry-distinct sites (fractional):
1 La 0.250 0.250 0.250
2 Pm 0.000 0.000 0.000
3 Sm 0.000 0.000 0.500
4 Sm 0.250 0.250 0.750
5 As 0.000 0.005 0.750
6 As 0.249 0.250 0.502

VASP energy, eV for the cell shown: -200.0
Total magnetic moment, μB per atom: 0.00
V, Å³ per cell: 876
Energy of formation from the pure elements, eV/atom: -1.54

=====

[18]
Density functional theory data (PBE-GGA) for an optimized crystal structure of La2PmSm3As6.

a = 18.622 Å, b = 4.275 Å, c = 8.547 Å
α = 90.00°, β = 103.27°, γ = 90.00°
Space group C2/m (No. 12)
Symmetry-distinct sites (fractional):
1 La 0.166 0.000 0.332
2 Pm 0.000 0.500 0.000
3 Sm 0.000 0.500 0.500
4 Sm 0.167 0.000 0.834
5 As 0.002 0.000 0.750
6 As 0.165 0.500 0.587
7 As 0.167 0.500 0.078

VASP energy, eV for the cell shown: -150.3
Total magnetic moment, μB per atom: 0.00
V, Å³ per cell: 662
Energy of formation from the pure elements, eV/atom: -1.54

=====

[19]
Density functional theory data (PBE-GGA) for an optimized crystal structure of La2PmSmAs4.

a = 7.448 Å, b = 4.303 Å, c = 7.449 Å
α = 90.00°, β = 109.44°, γ = 90.00°
Space group P2/m (No. 10)
Symmetry-distinct sites (fractional):
1 La 0.000 0.000 0.000
2 La 0.500 0.500 0.000
3 Pm 0.000 0.500 0.500
4 Sm 0.500 0.000 0.500
5 As 0.248 0.000 0.743
6 As 0.253 0.500 0.257

VASP energy, eV for the cell shown: -50.3
Total magnetic moment, μB per atom: 0.00
V, Å³ per cell: 225
Energy of formation from the pure elements, eV/atom: -1.55

=====

[20]
Density functional theory data (PBE-GGA) for an optimized crystal structure of La3Pm2SmAs6.

a = 7.453 Å, b = 12.908 Å, c = 7.455 Å
α = 90.00°, β = 109.45°, γ = 90.00°
Space group C2/m (No. 12)
Symmetry-distinct sites (fractional):
1 La 0.000 0.000 0.000
2 La 0.000 0.333 0.000
3 Pm 0.000 0.167 0.500
4 Sm 0.000 0.500 0.500
5 As 0.247 0.334 0.743
6 As 0.249 0.000 0.744

VASP energy, eV for the cell shown: -151.0
Total magnetic moment, μB per atom: 0.00
V, Å³ per cell: 676
Energy of formation from the pure elements, eV/atom: -1.55

=====

[21]
Density functional theory data (PBE-GGA) for an optimized crystal structure of LaPm2SmAs4.

a = 7.390 Å, b = 4.270 Å, c = 7.390 Å
α = 90.00°, β = 109.44°, γ = 90.00°
Space group P2/m (No. 10)
Symmetry-distinct sites (fractional):
1 La 0.000 0.000 0.000
2 Pm 0.000 0.500 0.500
3 Pm 0.500 0.000 0.500
4 Sm 0.500 0.500 0.000
5 As 0.253 0.000 0.749
6 As 0.255 0.500 0.254

VASP energy, eV for the cell shown: -50.0
Total magnetic moment, μB per atom: 0.00
V, Å³ per cell: 220
Energy of formation from the pure elements, eV/atom: -1.54

=====

[22]
Density functional theory data (PBE-GGA) for an optimized crystal structure of LaTbPm2As4.

a = 7.357 Å, b = 4.252 Å, c = 7.360 Å
α = 90.00°, β = 109.43°, γ = 90.00°
Space group P2/m (No. 10)
Symmetry-distinct sites (fractional):
1 La 0.000 0.000 0.000
2 Tb 0.500 0.500 0.000
3 Pm 0.000 0.500 0.500
4 Pm 0.500 0.000 0.500
5 As 0.256 0.000 0.752
6 As 0.256 0.500 0.252

VASP energy, eV for the cell shown: -49.9
Total magnetic moment, μB per atom: 0.00
V, Å³ per cell: 217
Energy of formation from the pure elements, eV/atom: -1.53